Record 1
Below is a relaxed CaZr2Ni crystal, with properties calculated at the GGA-PBE level.

Summary:
VASP energy ... -5.46 eV per atom
Energy above the most stable polymorph in this dataset ... 3.37 eV per formula unit
Energy of formation from the pure elements ... 294 kJ/mol of formula units

The structure in POSCAR format:
```
CaZr2Ni
1.0
-4.2690 3.1217 0.4467
-0.6005 -1.5428 5.0427
2.5789 7.2764 5.3264
Ni Ca Zr
2 2 4
Direct
0.7500 0.2500 0.5000 Ni
0.0000 0.0000 0.0000 Ni
0.2500 0.7500 0.5000 Ca
0.5000 0.5000 0.0000 Ca
0.3750 0.1355 0.7500 Zr
0.8645 0.1250 0.2500 Zr
0.8750 0.1145 0.7500 Zr
0.8855 0.6250 0.2500 Zr
```



Record 2
Below is a relaxed K3Cd9In2 crystal, with properties calculated at the GGA-PBE level.

Summary:
VASP energy ... -1.30 eV per atom
Energy of formation from the pure elements ... -116 kJ/mol of formula units

The structure in POSCAR format:
```
K3Cd9In2
1.0
-3.2177 -3.8025 1.5555
-2.0093 -5.0630 -7.7799
4.8929 -8.0899 -0.9012
In Cd K
2 9 3
Direct
0.5000 0.3228 0.6772 In
0.5000 0.6772 0.3228 In
0.1397 0.1525 0.5682 Cd
0.8603 0.4318 0.8475 Cd
0.3368 0.3087 0.0177 Cd
0.0000 0.5000 0.5000 Cd
0.3368 0.0177 0.3087 Cd
0.6632 0.9823 0.6913 Cd
0.6632 0.6913 0.9823 Cd
0.8603 0.8475 0.4318 Cd
0.1397 0.5682 0.1525 Cd
0.7097 0.2903 0.2903 K
0.0000 0.0000 0.0000 K
0.2903 0.7097 0.7097 K
```



Record 3
Below is a relaxed AcUTc2 crystal, with properties calculated at the GGA-PBE level.

Summary:
VASP energy ... -8.95 eV per atom
Energy above the most stable polymorph in this dataset ... 0.00 eV per formula unit
Energy of formation from the pure elements ... 33 kJ/mol of formula units

The structure in POSCAR format:
```
AcUTc2
1.0
-1.6892 -2.7367 1.0793
1.3211 0.4063 3.0979
-5.9350 4.4323 1.9496
Ac Tc U
1 2 1
Direct
0.5000 0.5000 0.5000 Ac
0.0000 0.0000 0.8148 Tc
0.0000 0.0000 0.1852 Tc
0.5000 0.5000 0.0000 U
```